A relaxed InAuI5 crystal, computed with PBE.

formation energy from raw total energies: -0.23 eV per atom
crystal system: orthorhombic
D(E_F): 6.50 states/eV/cell
symmetry: Pnma

Cell: 7.9822 7.3659 27.8320 Å, 90.00 90.00 90.00°
Positions (direct):
1 In 0.7500 0.7781 0.1343
2 In 0.2500 0.2219 0.8657
3 In 0.7500 0.7219 0.6343
4 In 0.2500 0.2781 0.3657
5 Au 0.7500 0.4841 0.9305
6 Au 0.2500 0.5159 0.0695
7 Au 0.7500 0.0159 0.4305
8 Au 0.2500 0.9841 0.5695
9 I 0.7500 0.5015 0.5581
10 I 0.2500 0.4985 0.4419
11 I 0.7500 0.9985 0.0581
12 I 0.2500 0.0015 0.9419
13 I 0.7500 0.9236 0.2236
14 I 0.2500 0.0764 0.7764
15 I 0.7500 0.5764 0.7236
16 I 0.2500 0.4236 0.2764
17 I 0.5079 0.0049 0.3607
18 I 0.0079 0.9950 0.6393
19 I 0.4921 0.9951 0.6393
20 I 0.9921 0.0050 0.3607
21 I 0.4921 0.5049 0.1393
22 I 0.9921 0.4950 0.8607
23 I 0.5079 0.4951 0.8607
24 I 0.0079 0.5050 0.1393
25 I 0.5000 0.0000 0.5000
26 I 0.0000 0.0000 0.5000
27 I 0.5000 0.5000 0.0000
28 I 0.0000 0.5000 0.0000

***

A relaxed Ba3SrCa8 crystal, computed with PBE.

crystal system: tetragonal
D(E_F): 18.37 states/eV/cell
symmetry: I-42m

Cell: 9.6692 9.6692 9.6692 Å, 95.91 116.65 116.65°
Positions (direct):
1 Ba 0.5000 0.7500 0.2500
2 Ba 0.5000 0.2500 0.7500
3 Ba 0.0000 0.5000 0.5000
4 Sr 0.0000 0.0000 0.0000
5 Ca 0.4940 0.2393 0.2393
6 Ca 0.5060 0.7453 0.7453
7 Ca 0.0000 0.7607 0.2547
8 Ca 0.0000 0.2547 0.7607
9 Ca 0.2587 0.3742 0.3742
10 Ca 0.7413 0.1156 0.1156
11 Ca 0.0000 0.6258 0.8844
12 Ca 0.0000 0.8844 0.6258

***

A relaxed BaMgGa2Ag4 crystal, computed with PBE.

crystal system: trigonal
D(E_F): 5.93 states/eV/cell
symmetry: R-3m

Cell: 4.6029 4.6029 10.0940 Å, 76.82 76.82 60.00°
Positions (direct):
1 Ba 0.0000 0.0000 0.0000
2 Mg 0.5000 0.5000 0.5000
3 Ga 0.7600 0.7600 0.7201
4 Ga 0.2400 0.2400 0.2799
5 Ag 0.4087 0.4087 0.7738
6 Ag 0.8662 0.8662 0.4013
7 Ag 0.1338 0.1338 0.5987
8 Ag 0.5913 0.5913 0.2262

***

A relaxed Cd2GeSO crystal, computed with PBE.

formation energy from raw total energies: 0.70 eV per atom
crystal system: tetragonal
D(E_F): 3.65 states/eV/cell
symmetry: P4/mmm

Cell: 5.0407 5.0568 5.0407 Å, 90.00 90.00 90.00°
Positions (direct):
1 Ge 0.0000 0.5000 0.0000
2 S 0.0000 0.0000 0.0000
3 O 0.5000 0.5000 0.5000
4 Cd 0.0000 0.0000 0.5000
5 Cd 0.5000 0.0000 0.0000

***

A relaxed NbCd2Sn2 crystal, computed with PBE.

crystal system: tetragonal
D(E_F): 8.01 states/eV/cell
symmetry: P4/mbm

Cell: 7.5373 7.5373 4.1297 Å, 90.00 90.00 90.00°
Positions (direct):
1 Nb 0.0000 0.0000 0.0000
2 Nb 0.5000 0.5000 0.0000
3 Sn 0.3483 0.8483 0.0000
4 Sn 0.8483 0.6517 0.0000
5 Sn 0.6517 0.1517 0.0000
6 Sn 0.1517 0.3483 0.0000
7 Cd 0.1549 0.6549 0.5000
8 Cd 0.6549 0.8451 0.5000
9 Cd 0.8451 0.3451 0.5000
10 Cd 0.3451 0.1549 0.5000

***

A relaxed K2NiRh crystal, computed with PBE.

crystal system: orthorhombic
D(E_F): 5.24 states/eV/cell
symmetry: Cmmm
energy above the lowest structure with this stoichiometry: 0.516 eV/atom

Cell: 2.9201 2.9201 10.2970 Å, 90.00 90.00 89.62°
Each line ends with the local moment (μB).
Positions (direct):
1 K 0.0000 0.0000 0.0020  -0.01
2 K 0.0000 0.0000 0.4980  -0.01
3 Ni 0.5000 0.5000 0.2500  0.40
4 Rh 0.5000 0.5000 0.7500  0.71

***

A relaxed Fe2OsPb crystal, computed with PBE.

crystal system: orthorhombic
D(E_F): 3.86 states/eV/cell
symmetry: Immm

Cell: 5.1967 5.1967 5.1967 Å, 144.29 128.76 64.03°
Each line ends with the local moment (μB).
Positions (direct):
1 Fe 0.9881 0.9881 0.0000  2.67
2 Fe 0.5119 0.5119 0.0000  2.67
3 Os 0.7500 0.2500 0.5000  0.31
4 Pb 0.2500 0.7500 0.5000  -0.05

***

A relaxed Cs2HClO crystal, computed with PBE.

crystal system: tetragonal
D(E_F): 0.00 states/eV/cell
symmetry: P4mm

Cell: 8.2845 8.2845 7.3439 Å, 124.34 124.34 90.00°
Positions (direct):
1 Cs 0.2435 0.7435 0.9866
2 Cs 0.7435 0.7431 0.9866
3 Cs 0.7431 0.2431 0.9866
4 Cs 0.2431 0.2435 0.9866
5 H 0.6869 0.6869 0.3738
6 H 0.1869 0.1869 0.3738
7 Cl 0.7498 0.2498 0.4996
8 Cl 0.2498 0.7498 0.4996
9 O 0.0769 0.0769 0.1537
10 O 0.5769 0.5769 0.1537

***

A relaxed AcLa2AsO8 crystal, computed with PBE.

formation energy from raw total energies: -2.30 eV per atom
crystal system: trigonal
D(E_F): 3.10 states/eV/cell
symmetry: P-3m1

Cell: 5.4470 5.4470 6.7174 Å, 90.00 90.00 120.00°
Each line ends with the local moment (μB).
Positions (direct):
1 Ac 0.0000 0.0000 0.5000  0.00
2 La 0.6667 0.3333 0.1322  0.09
3 La 0.3333 0.6667 0.8678  0.09
4 As 0.0000 0.0000 0.0000  -0.01
5 O 0.8412 0.6824 0.8384  0.09
6 O 0.3176 0.1588 0.8384  0.09
7 O 0.8412 0.1588 0.8384  0.09
8 O 0.1588 0.3176 0.1616  0.09
9 O 0.6824 0.8412 0.1616  0.09
10 O 0.1588 0.8412 0.1616  0.09
11 O 0.6667 0.3333 0.4501  0.56
12 O 0.3333 0.6667 0.5499  0.56

***

A relaxed KYSi2 crystal, computed with PBE.

formation energy from raw total energies: 0.14 eV per atom
crystal system: orthorhombic
D(E_F): 2.27 states/eV/cell
symmetry: Cmmm
energy above the lowest structure with this stoichiometry: 0.389 eV/atom

Cell: 5.4297 5.4297 3.3013 Å, 90.00 90.00 107.43°
Positions (direct):
1 K 0.0000 0.5000 0.5000
2 Si 0.0000 0.0000 0.0000
3 Si 0.5000 0.5000 0.0000
4 Y 0.5000 0.0000 0.5000

***

A relaxed CsKNa crystal, computed with PBE.

crystal system: trigonal
D(E_F): 1.83 states/eV/cell
symmetry: P3m1
energy above the lowest structure with this stoichiometry: 0.025 eV/atom

Cell: 4.9129 7.1232 7.1232 Å, 120.00 90.00 90.00°
Positions (direct):
1 Cs 0.6676 0.3333 0.6667
2 Na 0.1228 0.0000 0.0000
3 K 0.2096 0.6667 0.3333

***

A relaxed HgPd crystal, computed with PBE.

crystal system: cubic
D(E_F): 5.67 states/eV/cell
symmetry: Pm-3n

Cell: 7.5705 7.5705 7.5705 Å, 90.00 90.00 90.00°
Positions (direct):
1 Hg 0.2500 0.5000 0.0000
2 Hg 0.7500 0.5000 0.0000
3 Hg 0.5000 0.0000 0.2500
4 Hg 0.5000 0.0000 0.7500
5 Hg 0.0000 0.2500 0.5000
6 Hg 0.0000 0.7500 0.5000
7 Pd 0.2500 0.0000 0.5000
8 Pd 0.7500 0.0000 0.5000
9 Pd 0.0000 0.5000 0.2500
10 Pd 0.0000 0.5000 0.7500
11 Pd 0.5000 0.2500 0.0000
12 Pd 0.5000 0.7500 0.0000

***

A relaxed CaIrPdW2 crystal, computed with PBE.

crystal system: tetragonal
D(E_F): 10.17 states/eV/cell
symmetry: P4/mmm

Cell: 4.7299 5.0313 4.7299 Å, 90.00 90.00 90.00°
Positions (direct):
1 Ca 0.5000 0.5000 0.5000
2 Ir 0.0000 0.5000 0.0000
3 Pd 0.0000 0.0000 0.0000
4 W 0.0000 0.0000 0.5000
5 W 0.5000 0.0000 0.0000

***

A relaxed Co2ReHOs crystal, computed with PBE.

crystal system: tetragonal
D(E_F): 4.45 states/eV/cell
symmetry: P4/mmm

Cell: 3.7225 3.7225 3.7870 Å, 90.00 90.00 90.00°
Each line ends with the local moment (μB).
Positions (direct):
1 Re 0.5000 0.5000 0.5000  0.09
2 Os 0.0000 0.0000 0.5000  -0.02
3 H 0.0000 0.0000 0.0000  0.00
4 Co 0.0000 0.5000 0.0000  0.63
5 Co 0.5000 0.0000 0.0000  0.63

***

A relaxed Sm3Rh4Pb2 crystal, computed with PBE.

crystal system: monoclinic
D(E_F): 10.08 states/eV/cell
symmetry: C2/c

Cell: 5.6866 8.6882 8.6882 Å, 75.50 89.46 89.46°
Positions (direct):
1 Sm 0.8861 0.0007 0.2245
2 Sm 0.6139 0.7755 0.9993
3 Sm 0.1139 0.9993 0.7755
4 Sm 0.3861 0.2245 0.0007
5 Sm 0.2500 0.6105 0.3895
6 Sm 0.7500 0.3895 0.6105
7 Rh 0.3815 0.9287 0.2465
8 Rh 0.1185 0.7535 0.0713
9 Rh 0.6185 0.0713 0.7535
10 Rh 0.8815 0.2465 0.9287
11 Rh 0.9118 0.1633 0.4710
12 Rh 0.5882 0.5290 0.8367
13 Rh 0.0882 0.8367 0.5290
14 Rh 0.4118 0.4710 0.1633
15 Pb 0.3977 0.1818 0.4164
16 Pb 0.1023 0.5836 0.8182
17 Pb 0.6023 0.8182 0.5836
18 Pb 0.8977 0.4164 0.1818

***

A relaxed Sr2LiCdNi crystal, computed with PBE.

crystal system: tetragonal
D(E_F): 1.58 states/eV/cell
symmetry: P4/mmm
energy above the lowest structure with this stoichiometry: 0.000 eV/atom

Cell: 5.7107 5.7107 5.0624 Å, 90.00 90.00 90.00°
Positions (direct):
1 Sr 0.0000 0.5000 0.0000
2 Sr 0.5000 0.0000 0.0000
3 Li 0.5000 0.5000 0.5000
4 Ni 0.0000 0.0000 0.0000
5 Cd 0.0000 0.0000 0.5000

***

A relaxed AcPa2CuO8 crystal, computed with PBE.

formation energy from raw total energies: -2.56 eV per atom
crystal system: trigonal
D(E_F): 3.78 states/eV/cell
symmetry: P-3m1

Cell: 5.2160 5.2160 6.6906 Å, 90.00 90.00 120.00°
Each line ends with the local moment (μB).
Positions (direct):
1 Ac 0.0000 0.0000 0.5000  0.00
2 Pa 0.6667 0.3333 0.1251  0.00
3 Pa 0.3333 0.6667 0.8749  0.00
4 Cu 0.0000 0.0000 0.0000  0.08
5 O 0.8265 0.6529 0.8344  0.01
6 O 0.3471 0.1735 0.8344  0.01
7 O 0.8265 0.1735 0.8344  0.01
8 O 0.1735 0.3471 0.1656  0.01
9 O 0.6529 0.8265 0.1656  0.01
10 O 0.1735 0.8265 0.1656  0.01
11 O 0.6667 0.3333 0.4149  0.00
12 O 0.3333 0.6667 0.5851  0.00

***

A relaxed ScTaO4 crystal, computed with PBE.

formation energy from raw total energies: -3.17 eV per atom
crystal system: monoclinic
D(E_F): 0.00 states/eV/cell
symmetry: P2_1/c

Cell: 4.8235 5.7274 5.7590 Å, 113.13 90.00 90.00°
Positions (direct):
1 Sc 0.0000 0.5000 0.5000
2 Sc 0.5000 0.0000 0.5000
3 Ta 0.5000 0.5000 0.0000
4 Ta 0.0000 0.0000 0.0000
5 O 0.2935 0.8319 0.1372
6 O 0.2065 0.3319 0.1372
7 O 0.6827 0.6360 0.3321
8 O 0.1827 0.8640 0.6679
9 O 0.8173 0.1360 0.3321
10 O 0.3173 0.3640 0.6679
11 O 0.7935 0.6681 0.8628
12 O 0.7065 0.1681 0.8628

***

A relaxed BN crystal, computed with PBE.

formation energy from raw total energies: -1.29 eV per atom
crystal system: orthorhombic
D(E_F): 0.00 states/eV/cell
symmetry: Fmm2
energy above the lowest structure with this stoichiometry: 0.001 eV/atom

Cell: 4.4580 4.0892 2.5118 Å, 81.16 65.01 33.83°
Positions (direct):
1 B 0.0000 0.0000 0.0000
2 N 0.6667 0.3333 0.6667

***

A relaxed Mn3C5 crystal, computed with PBE.

crystal system: monoclinic
D(E_F): 7.66 states/eV/cell
symmetry: Cm
energy above the lowest structure with this stoichiometry: 0.073 eV/atom

Cell: 5.6853 5.6853 5.1300 Å, 81.99 81.99 121.25°
Each line ends with the local moment (μB).
Positions (direct):
1 C 0.1774 0.6774 0.3553  -0.04
2 C 0.6181 0.1181 0.5789  -0.03
3 C 0.3747 0.1746 0.6199  -0.02
4 C 0.8140 0.9111 0.3427  -0.10
5 C 0.3726 0.7244 0.0972  -0.02
6 C 0.8197 0.4632 0.9074  -0.05
7 C 0.4111 0.3140 0.3427  -0.10
8 C 0.6746 0.8747 0.6199  -0.02
9 C 0.9632 0.3197 0.9074  -0.05
10 C 0.2244 0.8726 0.0972  -0.02
11 Mn 0.6973 0.6950 0.0492  1.91
12 Mn 0.1950 0.1973 0.0492  1.91
13 Mn 0.6042 0.1042 0.2065  0.19
14 Mn 0.2491 0.7491 0.7318  -0.80
15 Mn 0.7656 0.5391 0.5440  2.12
16 Mn 0.0391 0.2656 0.5440  2.12

***

A relaxed Zr2CuBr crystal, computed with PBE.

formation energy from raw total energies: -0.20 eV per atom
crystal system: tetragonal
D(E_F): 1.54 states/eV/cell
symmetry: P4mm
energy above the lowest structure with this stoichiometry: 0.000 eV/atom

Cell: 3.2434 3.2435 9.2556 Å, 90.00 90.00 90.00°
Positions (direct):
1 Br 0.0000 0.0000 0.4378
2 Cu 0.5000 0.5000 0.8247
3 Zr 0.0000 0.0000 0.9973
4 Zr 0.5000 0.5000 0.2402

***

A relaxed Zn2TcNi9 crystal, computed with PBE.

crystal system: tetragonal
D(E_F): 13.05 states/eV/cell
symmetry: P4/mmm

Cell: 3.5851 3.5851 10.7610 Å, 90.00 90.00 90.00°
Each line ends with the local moment (μB).
Positions (direct):
1 Zn 0.0000 0.0000 0.3360  -0.01
2 Zn 0.0000 0.0000 0.6640  -0.01
3 Tc 0.0000 0.0000 0.0000  0.07
4 Ni 0.5000 0.5000 0.0000  0.00
5 Ni 0.5000 0.5000 0.3339  0.28
6 Ni 0.5000 0.5000 0.6661  0.28
7 Ni 0.5000 0.0000 0.1650  0.08
8 Ni 0.5000 0.0000 0.5000  0.37
9 Ni 0.5000 0.0000 0.8350  0.08
10 Ni 0.0000 0.5000 0.1650  0.08
11 Ni 0.0000 0.5000 0.5000  0.37
12 Ni 0.0000 0.5000 0.8350  0.08

***

A relaxed LiTm2F8 crystal, computed with PBE.

formation energy from raw total energies: -3.45 eV per atom
crystal system: monoclinic
D(E_F): 8.06 states/eV/cell
symmetry: C2/m
energy above the lowest structure with this stoichiometry: 0.067 eV/atom

Cell: 3.6068 5.4229 7.2895 Å, 110.74 104.32 90.00°
Each line ends with the local moment (μB).
Positions (direct):
1 Li 0.5000 0.0000 0.0000  0.00
2 Tm 0.8272 0.3170 0.6543  -0.01
3 Tm 0.1728 0.6830 0.3457  -0.01
4 F 0.4035 0.5632 0.8070  0.15
5 F 0.6802 0.9585 0.3605  0.04
6 F 0.7820 0.6699 0.5640  0.09
7 F 0.9619 0.2048 0.9237  0.20
8 F 0.2180 0.3301 0.4360  0.09
9 F 0.3198 0.0415 0.6395  0.04
10 F 0.5965 0.4368 0.1930  0.15
11 F 0.0381 0.7952 0.0763  0.20

***

Number 1: size of the total moment 0.000 μB per atom, DFT total energy -0.0806 hartree per atom. Number 2: size of the total moment 0.000 μB per atom, DFT total energy -0.0562 hartree per atom. Number 3: size of the total moment 0.000 μB per atom, DFT total energy -0.1024 hartree per atom. Number 4: size of the total moment 0.000 μB per atom, DFT total energy -0.0885 hartree per atom. Number 5: size of the total moment 0.000 μB per atom, DFT total energy -0.1348 hartree per atom. Number 6: size of the total moment 0.256 μB per atom, DFT total energy -0.1077 hartree per atom. Number 7: size of the total moment 1.389 μB per atom, DFT total energy -0.2668 hartree per atom. Number 8: size of the total moment 0.006 μB per atom, DFT total energy -0.1435 hartree per atom. Number 9: size of the total moment 0.170 μB per atom, DFT total energy -0.2629 hartree per atom. Number 10: size of the total moment 0.000 μB per atom, DFT total energy -0.1640 hartree per atom. Number 11: size of the total moment 0.000 μB per atom, DFT total energy -0.0386 hartree per atom. Number 12: size of the total moment 0.000 μB per atom, DFT total energy -0.0831 hartree per atom. Number 13: size of the total moment 0.000 μB per atom, DFT total energy -0.2455 hartree per atom. Number 14: size of the total moment 0.257 μB per atom, DFT total energy -0.2975 hartree per atom. Number 15: size of the total moment 0.000 μB per atom, DFT total energy -0.2240 hartree per atom. Number 16: size of the total moment 0.000 μB per atom, DFT total energy -0.0889 hartree per atom. Number 17: size of the total moment 0.015 μB per atom, DFT total energy -0.2990 hartree per atom. Number 18: size of the total moment 0.000 μB per atom, DFT total energy -0.3493 hartree per atom. Number 19: size of the total moment 0.000 μB per atom, DFT total energy -0.3229 hartree per atom. Number 20: size of the total moment 0.440 μB per atom, DFT total energy -0.3080 hartree per atom. Number 21: size of the total moment 0.000 μB per atom, DFT total energy -0.2174 hartree per atom. Number 22: size of the total moment 0.129 μB per atom, DFT total energy -0.2020 hartree per atom. Number 23: size of the total moment 0.096 μB per atom, DFT total energy -0.2132 hartree per atom.